Compound: AcLaDy2
Source: the Alexandria database
Functional: GGA-PBE
Structure: optimized geometry Values from VASP.

relative energy among the computed polymorphs = 61 meV/atom
uncorrected energy = -0.3280 Ry per atom

```
&SYSTEM
  ibrav = 0, nat = 16, ntyp = 3
/
ATOMIC_SPECIES
Ac 227.00 Ac.upf
La 138.91 La.upf
Dy 162.50 Dy.upf
CELL_PARAMETERS angstrom
8.3432 0.0000 0.0000
0.0000 8.3432 0.0000
0.0000 0.0000 8.3432
ATOMIC_POSITIONS crystal
Ac 0.0000 0.0000 0.0000
Ac 0.0000 0.5000 0.5000
Ac 0.5000 0.0000 0.5000
Ac 0.5000 0.5000 0.0000
La 0.0000 0.0000 0.5000
La 0.0000 0.5000 0.0000
La 0.5000 0.0000 0.0000
La 0.5000 0.5000 0.5000
Dy 0.2500 0.2500 0.2500
Dy 0.2500 0.2500 0.7500
Dy 0.2500 0.7500 0.2500
Dy 0.2500 0.7500 0.7500
Dy 0.7500 0.2500 0.2500
Dy 0.7500 0.2500 0.7500
Dy 0.7500 0.7500 0.2500
Dy 0.7500 0.7500 0.7500
```

Compound: Ac3La3Dy
Source: the Alexandria database
Functional: GGA-PBE
Structure: optimized geometry Values from VASP.

uncorrected energy = -0.3294 Ry per atom

```
&SYSTEM
  ibrav = 0, nat = 14, ntyp = 3
/
ATOMIC_SPECIES
Ac 227.00 Ac.upf
La 138.91 La.upf
Dy 162.50 Dy.upf
CELL_PARAMETERS angstrom
10.2484 0.0000 0.0000
-5.1242 8.8754 0.0000
0.0000 0.0000 6.1570
ATOMIC_POSITIONS crystal
Ac 0.0945 0.6243 0.2500
Ac 0.3757 0.4702 0.2500
Ac 0.4702 0.0945 0.7500
Ac 0.5298 0.9055 0.2500
Ac 0.6243 0.5298 0.7500
Ac 0.9055 0.3757 0.7500
La 0.0460 0.8114 0.7500
La 0.1886 0.2346 0.7500
La 0.2346 0.0460 0.2500
La 0.7654 0.9540 0.7500
La 0.8114 0.7654 0.2500
La 0.9540 0.1886 0.2500
Dy 0.3333 0.6667 0.7500
Dy 0.6667 0.3333 0.2500
```

Compound: AcLa5Dy3
Source: the Alexandria database
Functional: GGA-PBE
Structure: optimized geometry Values from VASP.

uncorrected energy = -0.3426 Ry per atom

```
&SYSTEM
  ibrav = 0, nat = 18, ntyp = 3
/
ATOMIC_SPECIES
Ac 227.00 Ac.upf
La 138.91 La.upf
Dy 162.50 Dy.upf
CELL_PARAMETERS angstrom
4.6440 -5.1133 0.0000
4.6440 5.1133 0.0000
-1.8688 0.0000 13.6152
ATOMIC_POSITIONS crystal
Ac 0.1515 0.8485 0.7500
Ac 0.8485 0.1515 0.2500
La 0.1567 0.5222 0.4196
La 0.1795 0.4731 0.9210
La 0.1935 0.8065 0.2500
La 0.4731 0.1795 0.4210
La 0.4778 0.8433 0.0804
La 0.5222 0.1567 0.9196
La 0.5269 0.8205 0.5790
La 0.8065 0.1935 0.7500
La 0.8205 0.5269 0.0790
La 0.8433 0.4778 0.5804
Dy 0.0000 0.0000 0.0000
Dy 0.0000 0.0000 0.5000
Dy 0.3288 0.3393 0.6677
Dy 0.3393 0.3288 0.1677
Dy 0.6607 0.6712 0.8323
Dy 0.6712 0.6607 0.3323
```

Q: Which formation energy from the elements values were calculated for the entries above? A: 0.10 0.05 0.07, in eV/atom.
Q: Which total moment values were calculated for the entries above? A: 0.004 0.000 0.000, in μB per cell.